Here is a relaxed TlInCo2 crystal from the Alexandria database. Energies are from PBE.

## Properties
* calculated formation energy: 323.2 meV per atom
* symmetry: No. 99
* VASP energy: -18.0 eV/cell
* polymorph energy (0 for the lowest one): 0.00 eV per formula unit
* magnetic moment: 3.3 μB/f.u.

Lattice parameters (Å, degrees): 3.055 3.052 7.897 90.00 90.00 90.00
Each line ends with the local moment (μB).
Fractional coordinates of all 4 atoms:
1 In 0.000 0.000 0.430  0.00
2 Co 0.000 0.000 0.065  1.72
3 Tl 0.500 0.500 0.804  -0.01
4 Co 0.500 0.500 0.201  1.63